VASP calculation (PBE-GGA) on a relaxed Pm3Pr2Ir3 crystal.

E: -6.76 eV per atom
Fermi-level density of states: 20.933 states/eV per cell
ΔE_f: -3.69 eV/f.u.

a = 13.0388 Å, b = 5.7296 Å, c = 13.9324 Å
α = 90.00°, β = 90.62°, γ = 90.00°
With the nearest neighbours (Å) after each atom.
Space group Cm (No. 8)
Symmetry-distinct sites (fractional):
Pm1 0.0000 0.0000 0.0000 [2 per cell]  3 Ir 2.79-2.80
Pm2 0.0023 0.0000 0.2666 [2 per cell]  3 Ir 2.79-2.80
Pm3 0.1194 0.5000 0.4473 [2 per cell]  4 Ir 2.87-2.93
Pm4 0.1928 0.5000 0.1340 [2 per cell]  4 Ir 2.89-2.93
Pm5 0.1986 0.0000 0.6344 [2 per cell]  4 Ir 2.89-2.94
Pm6 0.3879 0.5000 0.7683 [2 per cell]  3 Ir 2.78-2.80
Pr1 0.1113 0.5000 0.8142 [2 per cell]  4 Ir 2.87-2.98
Pr2 0.2768 0.0000 0.9509 [2 per cell]  4 Ir 2.87-2.97
Pr3 0.2812 0.0000 0.3153 [2 per cell]  4 Ir 2.87-2.96
Pr4 0.3966 0.5000 0.5029 [2 per cell]  3 Ir 2.82-2.85
Ir1 0.0952 0.0000 0.8208 [2 per cell]  3 Pm 2.79-2.94, 3 Pr 2.87-2.97
Ir2 0.1033 0.0000 0.4441 [2 per cell]  4 Pm 2.79-2.92, 2 Pr 2.82-2.95
Ir3 0.1616 0.0000 0.1333 [2 per cell]  4 Pm 2.79-2.89, 2 Pr 2.96-2.97
Ir4 0.2288 0.5000 0.6320 [2 per cell]  4 Pm 2.80-2.93, 2 Pr 2.85-2.98
Ir5 0.2925 0.5000 0.9462 [2 per cell]  3 Pm 2.78-2.93, 3 Pr 2.87-2.98
Ir6 0.2966 0.5000 0.3216 [2 per cell]  3 Pm 2.80-2.93, 3 Pr 2.83-2.87